(1)
Here is Hg12Te3Au5 after structural relaxation from Alexandria via LeMat-Bulk. Energies are from GGA-PBE.

Geometry as POSCAR:
```
Hg12Te3Au5
1.0
-0.713 10.701 10.153
-7.547 -11.781 4.726
14.110 -3.756 -2.211
Hg Te Au
48 12 20
Cartesian
3.545 -10.065 6.677
1.709 -4.549 4.950
-2.620 -0.056 9.768
3.639 -4.550 8.031
3.959 2.827 3.858
-1.677 -11.294 4.590
0.546 -2.651 7.825
10.262 -1.500 5.034
6.590 -10.987 4.919
4.419 -6.403 3.444
8.470 -4.780 2.900
5.304 -2.185 4.843
8.392 -7.675 0.671
1.891 -7.663 8.810
5.463 -9.469 1.792
-2.067 -1.344 5.698
3.655 4.442 9.295
-2.542 2.839 11.997
12.806 -2.559 -0.019
4.141 -0.287 7.718
4.137 -3.074 11.291
-3.399 -2.776 12.015
-1.035 -5.573 9.346
7.939 -1.138 9.765
1.430 1.567 9.225
7.916 -3.492 6.970
9.248 -2.060 0.653
0.387 4.633 10.877
6.371 2.356 6.537
-2.089 -3.698 2.904
-5.179 -10.255 4.697
-0.741 6.151 7.750
7.527 6.458 8.079
-3.786 -5.970 5.179
0.801 -1.844 12.140
5.048 -2.992 0.528
6.885 0.738 3.322
-0.522 -7.192 6.132
6.251 -7.660 6.345
9.635 1.134 7.489
2.195 -9.278 3.374
11.029 5.419 7.971
-6.956 -2.277 12.688
-4.412 -3.336 7.634
2.305 5.230 5.991
-0.401 2.825 6.323
2.210 -0.286 4.637
1.713 -1.762 1.377
2.959 2.334 6.698
1.960 6.952 8.922
-1.457 -4.289 6.209
2.891 -7.170 5.970
-1.601 3.138 9.110
-4.521 0.058 12.152
7.451 -7.974 3.558
7.307 -0.547 6.460
1.680 -4.630 10.368
10.370 -4.894 0.516
3.890 -11.787 3.747
4.170 -0.206 2.300
6.240 -5.434 7.956
-4.130 -0.540 7.439
2.925 -2.418 6.334
-3.774 -5.890 2.363
5.241 -0.817 10.179
0.000 0.000 0.000
3.281 -7.768 1.258
0.039 -0.746 9.739
9.372 -0.277 2.740
-5.018 -8.102 6.397
10.868 3.267 6.271
6.698 3.473 3.971
0.608 -4.019 2.489
-0.458 -8.906 3.985
-0.391 0.598 4.712
-3.522 -4.559 9.928
-0.357 5.350 5.076
7.055 -1.878 -1.105
5.810 -4.090 2.929
6.308 4.071 8.683
```

Output
- Formation energy from raw total energies: 12.91 kJ/mol of atoms
- Space-group type: Ia-3d (230)

***

(2)
Here is Hg2TeAu after structural relaxation from Alexandria via LeMat-Bulk. Energies are from GGA-PBE.

Geometry as POSCAR:
```
Hg2TeAu
1.0
-0.843 -3.888 2.867
-0.141 -2.890 -3.960
8.550 -4.817 0.174
Au Te Hg
2 2 4
Cartesian
0.000 0.000 0.000
3.608 -6.047 1.248
3.959 -5.548 -2.166
-0.492 -3.389 -0.546
5.544 -9.712 -1.056
1.993 -3.270 -2.240
1.544 -4.222 1.508
6.052 -5.986 -0.048
```

Output
- Formation energy from raw total energies: 11.55 kJ/mol of atoms
- Space-group type: I-42d (122)

***

(3)
Here is Hg2TeAu after structural relaxation from Alexandria via LeMat-Bulk. Energies are from GGA-PBE.

Geometry as POSCAR:
```
Hg2TeAu
1.0
7.413 0.002 -0.042
5.255 5.229 0.042
-6.337 -2.608 2.828
Hg Au Te
2 1 1
Cartesian
0.564 0.233 0.000
5.770 2.382 0.000
2.626 2.618 1.435
3.705 0.004 1.393
```

Output
- Formation energy from raw total energies: 4.28 kJ/mol of atoms
- Space-group type: Immm (71)

***

(4)
Here is Hg2TeAu after structural relaxation from Alexandria via LeMat-Bulk. Energies are from GGA-PBE.

Geometry as POSCAR:
```
Hg2TeAu
1.0
2.902 0.000 0.000
0.000 4.104 0.000
0.000 0.000 8.683
Au Hg Te
1 2 1
Cartesian
1.451 2.052 6.617
0.000 0.000 8.422
1.451 2.052 1.981
0.000 0.000 4.689
```

Output
- Formation energy from raw total energies: 15.81 kJ/mol of atoms
- Space-group type: Pmm2 (25)

***

Question: Which of these has the highest formation energy from raw total energies?
Answer: number 4